No. 1
A plane-wave DFT calculation with PBE was carried out for an optimized crystal structure of LaCeGeRu.

```
8
Lattice="4.650 0.000 0.000 0.000 4.650 0.000 0.000 0.000 10.023" Properties=species:S:1:pos:R:3 pbc="T T T"
Ge 0.000 2.325 1.313
Ce 2.325 2.325 5.011
La 0.000 2.325 8.396
La 2.325 0.000 1.627
Ce 0.000 0.000 5.011
Ge 2.325 0.000 8.709
Ru 2.325 0.000 6.284
Ru 0.000 2.325 3.739
```

Output
DFT formation energy   -1.5 eV/f.u.
ρ   6.9 g cm⁻³

***

No. 2
A plane-wave DFT calculation with PBE was carried out for an optimized crystal structure of LaCeGeS.

```
4
Lattice="4.239 0.000 0.000 2.120 3.671 0.000 2.120 1.224 6.851" Properties=species:S:1:pos:R:3 pbc="T T T"
Ge 6.359 3.671 1.236
La 6.359 3.671 6.247
S 4.239 2.448 4.503
Ce 2.120 1.224 2.885
```

Output
ρ   6.0 g cm⁻³
Raw formation energy   -1426 meV/atom

***

No. 3
A plane-wave DFT calculation with PBE was carried out for an optimized crystal structure of LaCeSiGe.

```
4
Lattice="4.512 0.000 0.000 0.000 4.013 0.000 -2.256 0.000 5.579" Properties=species:S:1:pos:R:3 pbc="T T T"
Ce 0.000 0.000 1.530
La 2.256 2.006 3.985
Si 2.256 2.006 0.854
Ge 0.000 0.000 4.789
```

Output
ρ   6.2 g cm⁻³
Raw formation energy   -710 meV/atom